Record 1
Compound: Ni2Ge2Pd
Source: Alexandria via LeMat-Bulk
Functional: GGA-PBE
Structure: relaxed

Results
The calculation puts the total energy at -0.202 hartree per atom. The calculation puts the energy above the most stable polymorph in this dataset at 28 meV per atom. The symmetry is Pm.

Cell and atoms, written as extended XYZ:
```
10
Lattice="5.4654 0.0000 0.0000 0.0000 3.7329 0.0000 -0.6323 0.0000 6.8625" Properties=species:S:1:pos:R:3 pbc="T T T"
Ni 0.0000 0.0000 0.0000
Ni -0.1239 1.8664 2.3421
Ni 0.4956 1.8664 5.1043
Ni 1.9994 0.0000 6.2389
Ge 1.0765 0.0000 3.7525
Ge 1.5044 1.8664 0.6057
Ge 3.8132 0.0000 1.6212
Ge 3.5353 1.8664 5.8286
Pd 2.5599 1.8664 2.9035
Pd 4.0944 0.0000 4.2426
```

=====

Record 2
Compound: Ni15Ge4Pd
Source: Alexandria via LeMat-Bulk
Functional: GGA-PBE
Structure: relaxed

Results
The calculation puts the total energy at -0.210 hartree per atom. The symmetry is P4/mmm.

Cell and atoms, written as extended XYZ:
```
20
Lattice="3.5976 0.0000 0.0000 0.0000 3.5976 0.0000 0.0000 0.0000 17.8827" Properties=species:S:1:pos:R:3 pbc="T T T"
Ni 0.0000 0.0000 0.0000
Ni 0.0000 0.0000 3.6260
Ni 0.0000 0.0000 7.1647
Ni 0.0000 0.0000 10.7180
Ni 0.0000 0.0000 14.2567
Ni 0.0000 1.7988 1.8613
Ni 0.0000 1.7988 5.3829
Ni 0.0000 1.7988 8.9413
Ni 0.0000 1.7988 12.4998
Ni 0.0000 1.7988 16.0214
Ni 1.7988 0.0000 1.8613
Ni 1.7988 0.0000 5.3829
Ni 1.7988 0.0000 8.9413
Ni 1.7988 0.0000 12.4998
Ni 1.7988 0.0000 16.0214
Ge 1.7988 1.7988 3.5929
Ge 1.7988 1.7988 7.1615
Ge 1.7988 1.7988 10.7212
Ge 1.7988 1.7988 14.2898
Pd 1.7988 1.7988 0.0000
```

=====

Record 3
Compound: Ni2Ge2Pd
Source: Alexandria via LeMat-Bulk
Functional: GGA-PBE
Structure: relaxed

Results
The calculation puts the total energy at -0.201 hartree per atom. The calculation puts the energy above the most stable polymorph in this dataset at 45 meV per atom. The symmetry is P1.

Cell and atoms, written as extended XYZ:
```
10
Lattice="4.6369 0.0000 0.0000 -0.0032 5.0585 0.0000 -1.4760 -1.9666 5.8307" Properties=species:S:1:pos:R:3 pbc="T T T"
Ni 0.0000 0.0000 0.0000
Ni -0.2731 3.2442 3.4023
Ni 0.7638 1.8483 5.5481
Ni 3.0437 2.0196 1.4576
Ge 0.5885 2.9354 1.1598
Ge 0.6657 -0.6459 5.1969
Ge 2.0990 2.6140 3.6788
Ge 3.0664 -0.3732 1.8631
Pd 0.7808 0.6633 2.5696
Pd 2.9869 0.4288 4.5198
```

=====

Record 4
Compound: NiGePd
Source: Alexandria via LeMat-Bulk
Functional: GGA-PBE
Structure: relaxed

Results
The calculation puts the total energy at -0.202 hartree per atom. The symmetry is P3m1.

Cell and atoms, written as extended XYZ:
```
3
Lattice="4.0382 0.0000 0.0000 -2.0191 3.4972 0.0000 0.0000 0.0000 2.9642" Properties=species:S:1:pos:R:3 pbc="T T T"
Ni 0.0000 0.0000 0.0000
Ge 2.0191 1.1657 2.7112
Pd 0.0000 2.3315 1.4412
```

=====

Record 5
Compound: Ni2Ge2Pd
Source: Alexandria via LeMat-Bulk
Functional: GGA-PBE
Structure: relaxed

Results
The calculation puts the total energy at -0.196 hartree per atom. The calculation puts the energy above the most stable polymorph in this dataset at 185 meV per atom. The symmetry is I4/mmm.

Cell and atoms, written as extended XYZ:
```
5
Lattice="-1.8366 1.8366 5.4005 1.8366 -1.8366 5.4005 1.8366 1.8366 -5.4005" Properties=species:S:1:pos:R:3 pbc="T T T"
Ni 1.8366 0.0000 2.7002
Ni 0.0000 1.8366 2.7002
Ge 0.0000 0.0000 1.2137
Ge 0.0000 0.0000 9.5872
Pd 0.0000 0.0000 5.4005
```

=====

Record 6
Compound: NiGePd
Source: Alexandria via LeMat-Bulk
Functional: GGA-PBE
Structure: relaxed

Results
The calculation puts the total energy at -0.207 hartree per atom. The symmetry is P-62m.

Cell and atoms, written as extended XYZ:
```
9
Lattice="6.2611 0.0000 0.0000 -3.1305 5.4222 0.0000 0.0000 0.0000 3.6612" Properties=species:S:1:pos:R:3 pbc="T T T"
Ni -0.7872 1.3634 0.0000
Ni 1.5743 0.0000 0.0000
Ni 2.3434 4.0588 0.0000
Ge 0.0000 0.0000 1.8306
Ge 0.0000 3.6148 0.0000
Ge 3.1305 1.8074 0.0000
Pd -1.8616 3.2243 1.8306
Pd 1.2690 2.1979 1.8306
Pd 3.7231 0.0000 1.8306
```

=====

Record 7
Compound: Ni2GePd
Source: Alexandria via LeMat-Bulk
Functional: GGA-PBE
Structure: relaxed

Results
The calculation puts the total energy at -0.194 hartree per atom. The symmetry is I-42d.

Cell and atoms, written as extended XYZ:
```
8
Lattice="-1.8014 1.8014 8.7221 1.8014 -1.8014 8.7221 1.8014 1.8014 -8.7221" Properties=species:S:1:pos:R:3 pbc="T T T"
Ni 2.7021 0.8308 -2.1805
Ni 0.8308 0.9007 2.1805
Ni -0.9007 0.9706 6.5416
Ni 0.9706 0.9007 10.9026
Ge 0.0000 0.0000 0.0000
Ge 0.0000 1.8014 4.3610
Pd 1.8014 0.0000 4.3610
Pd 0.0000 0.0000 8.7221
```

=====

Record 8
Compound: Ni9Ge4Pd2
Source: Alexandria via LeMat-Bulk
Functional: GGA-PBE
Structure: relaxed

Results
The calculation puts the total energy at -0.206 hartree per atom. The symmetry is P-3m1.

Cell and atoms, written as extended XYZ:
```
15
Lattice="4.0053 0.0000 0.0000 -2.0026 3.4687 0.0000 0.0000 0.0000 13.5351" Properties=species:S:1:pos:R:3 pbc="T T T"
Ni 0.0000 0.0000 0.0000
Ni 0.0000 0.0000 2.3887
Ni 0.0000 0.0000 5.4257
Ni 0.0000 0.0000 8.1094
Ni 0.0000 0.0000 11.1464
Ni 0.0000 2.3124 0.9059
Ni 0.0000 2.3124 6.3649
Ni 2.0026 1.1562 7.1702
Ni 2.0026 1.1562 12.6292
Ge 0.0000 2.3124 8.7005
Ge 0.0000 2.3124 11.9142
Ge 2.0026 1.1562 1.6209
Ge 2.0026 1.1562 4.8346
Pd 0.0000 2.3124 3.6916
Pd 2.0026 1.1562 9.8435
```

=====

Which formula does entry 1 have?
Ni2Ge2Pd